Record 1
# Y3ZrNb PBE optimized geometry
# Density of states at the Fermi level   1.621 states/eV per atom
# DFT formation energy   76 kJ/mol of atoms
# ρ   4.833 g/cm3
# Energy above the lowest structure with this stoichiometry   0.0000 eV per atom
# Crystal system   cubic
data_Y3ZrNb
_space_group_name_H-M_alt 'P m -3 m'
_space_group_IT_number 221
_space_group_name_Hall '-P 4 2 3'
_cell_length_a 5.371
_cell_length_b 5.371
_cell_length_c 5.371
_cell_angle_alpha 90.00
_cell_angle_beta 90.00
_cell_angle_gamma 90.00
loop_
_atom_site_label
_atom_site_fract_x
_atom_site_fract_y
_atom_site_fract_z
Y1 0.000 0.000 0.500
Zr1 0.500 0.500 0.500
Nb1 0.000 0.000 0.000



Record 2
# YbNb3 PBE optimized geometry
# Density of states at the Fermi level   1.311 states/eV per atom
# DFT formation energy   40 kJ/mol of atoms
# ρ   8.737 g/cm3
# Crystal system   hexagonal
data_YbNb3
_space_group_name_H-M_alt 'P 63/m m c'
_space_group_IT_number 194
_space_group_name_Hall '-P 6c 2c'
_cell_length_a 6.3124
_cell_length_b 6.3124
_cell_length_c 4.9765
_cell_angle_alpha 90.00
_cell_angle_beta 90.00
_cell_angle_gamma 120.00
loop_
_atom_site_label
_atom_site_fract_x
_atom_site_fract_y
_atom_site_fract_z
Yb1 0.3333 0.6667 0.2500
Nb1 0.1485 0.2969 0.7500



Record 3
# Nb3Zn PBE optimized geometry
# Density of states at the Fermi level   0.756 states/eV per atom
# DFT formation energy   2 kJ/mol of atoms
# ρ   8.120 g/cm3
# Crystal system   tetragonal
data_Nb3Zn
_space_group_name_H-M_alt 'P 4/n m m'
_space_group_IT_number 129
_cell_length_a 3.360
_cell_length_b 3.360
_cell_length_c 12.470
_cell_angle_alpha 90.00
_cell_angle_beta 90.00
_cell_angle_gamma 90.00
loop_
_space_group_symop_operation_xyz
'x,y,z'
'-x,-y,-z'
'-y+1/2,x,z'
'y+1/2,-x,-z'
'-x+1/2,-y+1/2,z'
'x+1/2,y+1/2,-z'
'y,-x+1/2,z'
'-y,x+1/2,-z'
'x+1/2,-y,-z'
'-x+1/2,y,z'
'-y,-x,-z'
'y,x,z'
'-x,y+1/2,-z'
'x,-y+1/2,z'
'y+1/2,x+1/2,-z'
'-y+1/2,-x+1/2,z'
loop_
_atom_site_label
_atom_site_fract_x
_atom_site_fract_y
_atom_site_fract_z
Nb1 0.250 0.250 0.069
Nb2 0.250 0.250 0.318
Nb3 0.250 0.250 0.802
Zn1 0.250 0.250 0.556



Record 4
# NbZn PBE optimized geometry
# Density of states at the Fermi level   0.622 states/eV per atom
# DFT formation energy   8 kJ/mol of atoms
# ρ   7.678 g/cm3
# Crystal system   orthorhombic
data_NbZn
_space_group_name_H-M_alt 'P b c a'
_space_group_IT_number 61
_space_group_name_Hall '-P 2ac 2ab'
_cell_length_a 4.858
_cell_length_b 4.971
_cell_length_c 11.343
_cell_angle_alpha 90.00
_cell_angle_beta 90.00
_cell_angle_gamma 90.00
loop_
_atom_site_label
_atom_site_fract_x
_atom_site_fract_y
_atom_site_fract_z
Nb1 0.001 0.199 0.192
Zn1 0.001 0.217 0.439



Record 5
# NbZn PBE optimized geometry
# Density of states at the Fermi level   0.599 states/eV per atom
# DFT formation energy   21 kJ/mol of atoms
# ρ   7.295 g/cm3
# Crystal system   hexagonal
data_NbZn
_space_group_name_H-M_alt 'P 63/m'
_space_group_IT_number 176
_space_group_name_Hall '-P 6c'
_cell_length_a 9.5823
_cell_length_b 9.5823
_cell_length_c 2.7193
_cell_angle_alpha 90.00
_cell_angle_beta 90.00
_cell_angle_gamma 120.00
loop_
_atom_site_label
_atom_site_fract_x
_atom_site_fract_y
_atom_site_fract_z
Nb1 0.1431 0.5378 0.2500
Zn1 0.1009 0.7982 0.7500



Record 6
# NbZn PBE optimized geometry
# Density of states at the Fermi level   1.173 states/eV per atom
# DFT formation energy   162 kJ/mol of atoms
# ρ   5.505 g/cm3
# Crystal system   cubic
data_NbZn
_space_group_name_H-M_alt 'F -4 3 m'
_space_group_IT_number 216
_space_group_name_Hall 'F -4 2 3'
_cell_length_a 5.759
_cell_length_b 5.759
_cell_length_c 5.759
_cell_angle_alpha 90.00
_cell_angle_beta 90.00
_cell_angle_gamma 90.00
loop_
_atom_site_label
_atom_site_fract_x
_atom_site_fract_y
_atom_site_fract_z
Nb1 0.000 0.000 0.000
Zn1 0.250 0.250 0.250



Record 7
# NbZn PBE optimized geometry
# Density of states at the Fermi level   1.654 states/eV per atom
# DFT formation energy   115 kJ/mol of atoms
# ρ   5.957 g/cm3
# Crystal system   hexagonal
data_NbZn
_space_group_name_H-M_alt 'P 63/m m c'
_space_group_IT_number 194
_space_group_name_Hall '-P 6c 2c'
_cell_length_a 4.4326
_cell_length_b 4.4326
_cell_length_c 5.1873
_cell_angle_alpha 90.00
_cell_angle_beta 90.00
_cell_angle_gamma 120.00
loop_
_atom_site_label
_atom_site_fract_x
_atom_site_fract_y
_atom_site_fract_z
Nb1 0.3333 0.6667 0.2500
Zn1 0.3333 0.6667 0.7500



Record 8
# NbZn2 PBE optimized geometry
# Density of states at the Fermi level   0.309 states/eV per atom
# DFT formation energy   -15 kJ/mol of atoms
# ρ   8.167 g/cm3
# Crystal system   hexagonal
data_NbZn2
_space_group_name_H-M_alt 'P 63/m m c'
_space_group_IT_number 194
_space_group_name_Hall '-P 6c 2c'
_cell_length_a 5.0833
_cell_length_b 5.0833
_cell_length_c 8.1313
_cell_angle_alpha 90.00
_cell_angle_beta 90.00
_cell_angle_gamma 120.00
loop_
_atom_site_label
_atom_site_fract_x
_atom_site_fract_y
_atom_site_fract_z
Nb1 0.3333 0.6667 0.0699
Zn1 0.0000 0.0000 0.0000
Zn2 0.1728 0.3456 0.7500